Density functional theory data (GGA-PBE) for LuHfSi2 after structural relaxation.

a = 3.791 Å, b = 3.791 Å, c = 20.097 Å
α = 90.00°, β = 90.00°, γ = 120.00°
Sites, in units of the cell vectors:
Lu: 0.000 0.000 0.000
Lu: 0.333 0.667 0.667
Lu: 0.667 0.333 0.333
Hf: 0.000 0.000 0.500
Hf: 0.333 0.667 0.167
Hf: 0.667 0.333 0.833
Si: 0.000 0.000 0.245
Si: 0.000 0.000 0.755
Si: 0.333 0.667 0.422
Si: 0.333 0.667 0.911
Si: 0.667 0.333 0.089
Si: 0.667 0.333 0.578

Size of the total moment, μB per atom: 0.000
Raw formation energy, eV/f.u.: -2.07
SG: No. 166
Calculated total energy, hartree per atom: -0.252